## Pr5Nd12Er2 (GGA-PBE)

Data for an optimized crystal structure of Pr5Nd12Er2.

```
Pr5Nd12Er2
1.0
7.294 0.000 0.000
-3.647 8.764 3.667
0.000 -0.093 10.542
Nd Er Pr
12 2 5
direct
0.917 0.333 0.482
0.089 0.681 0.864
0.979 0.958 0.237
0.911 0.319 0.136
0.021 0.042 0.763
0.504 0.008 0.681
0.083 0.667 0.518
0.417 0.333 0.482
0.408 0.319 0.136
0.583 0.667 0.518
0.496 0.992 0.319
0.592 0.681 0.864
0.717 0.000 0.000
0.283 0.000 0.000
0.817 0.635 0.182
0.183 0.365 0.818
0.326 0.652 0.207
0.000 0.000 0.500
0.674 0.348 0.793
```

Summary:
As for the crystal system: monoclinic. The value obtained for the formation energy is 0.164 eV per atom. The total DFT energy (no corrections) comes out at -4.585 eV/atom. Its calculated density is 6.801 Mg/m³.